[1]
A geometry-optimized Sn2GeSe structure. Source: the Alexandria database, functional PBE.

Output
The density of states at the Fermi level comes out at 3.5 states/eV/f.u. For the raw formation energy, the calculation gives 7.73 kJ per mole of atoms. For the offset from the most stable computed form, the calculation gives 105 meV per atom.

```
data_Sn2GeSe
_chemical_formula_sum 'Sn8 Ge4 Se4'
_cell_length_a 6.250
_cell_length_b 6.250
_cell_length_c 13.859
_cell_angle_alpha 90.00
_cell_angle_beta 90.00
_cell_angle_gamma 90.00
_symmetry_space_group_name_H-M 'I -4 2 d'
_symmetry_Int_Tables_number 122
_symmetry_space_group_name_Hall 'I -4 2bw'
loop_
_atom_site_label
_atom_site_type_symbol
_atom_site_fract_x
_atom_site_fract_y
_atom_site_fract_z
Sn1 Sn 0.236 0.250 0.125
Ge1 Ge 0.000 0.000 0.000
Se1 Se 0.000 0.000 0.500
```

[2]
A geometry-optimized K3Nd2RhO6 structure. Source: the Alexandria database, functional PBE.

Output
For the raw formation energy, the calculation gives -193.22 kJ per mole of atoms.

```
data_K3Nd2RhO6
_chemical_formula_sum 'K6 Nd4 Rh2 O12'
_cell_length_a 6.015
_cell_length_b 10.404
_cell_length_c 6.571
_cell_angle_alpha 90.00
_cell_angle_beta 107.51
_cell_angle_gamma 90.00
_symmetry_space_group_name_H-M 'C 1 2/m 1'
_symmetry_Int_Tables_number 12
_symmetry_space_group_name_Hall '-C 2y'
loop_
_atom_site_label
_atom_site_type_symbol
_atom_site_fract_x
_atom_site_fract_y
_atom_site_fract_z
K1 K 0.000 0.000 0.000
K2 K 0.000 0.341 0.000
Nd1 Nd 0.000 0.167 0.500
Rh1 Rh 0.000 0.500 0.500
O1 O 0.218 0.346 0.691
O2 O 0.247 0.500 0.311
```

[3]
A geometry-optimized Sr16Li12Al structure. Source: the Alexandria database, functional PBE.

Output
The density of states at the Fermi level comes out at 26.7 states/eV/f.u. Its formation energy from the elements is 0.05 eV per atom.

```
data_Sr16Li12Al
_chemical_formula_sum 'Sr32 Li24 Al2'
_cell_length_a 13.089
_cell_length_b 17.593
_cell_length_c 11.105
_cell_angle_alpha 90.00
_cell_angle_beta 116.41
_cell_angle_gamma 90.00
_symmetry_space_group_name_H-M 'C 1 m 1'
_symmetry_Int_Tables_number 8
_symmetry_space_group_name_Hall 'C -2y'
loop_
_atom_site_label
_atom_site_type_symbol
_atom_site_fract_x
_atom_site_fract_y
_atom_site_fract_z
Sr1 Sr 0.000 0.000 0.000
Sr2 Sr 0.009 0.382 0.663
Sr3 Sr 0.025 0.387 0.016
Sr4 Sr 0.026 0.000 0.633
Sr5 Sr 0.123 0.500 0.405
Sr6 Sr 0.207 0.183 0.642
Sr7 Sr 0.271 0.000 0.363
Sr8 Sr 0.308 0.308 0.995
Sr9 Sr 0.312 0.326 0.423
Sr10 Sr 0.469 0.188 0.310
Li1 Li 0.013 0.192 0.825
Li2 Li 0.017 0.099 0.311
Li3 Li 0.142 0.186 0.155
Li4 Li 0.207 0.500 0.904
Li5 Li 0.247 0.085 0.966
Li6 Li 0.291 0.409 0.707
Li7 Li 0.303 0.500 0.210
Al1 Al 0.327 0.000 0.760
```

[4]
A geometry-optimized AlV7C2 structure. Source: the Alexandria database, functional PBE.

Output
The density of states at the Fermi level comes out at 8.0 states/eV/f.u. Its formation energy from the elements is -0.02 eV per atom.

```
data_AlV7C2
_chemical_formula_sum 'Al2 V14 C4'
_cell_length_a 6.369
_cell_length_b 10.429
_cell_length_c 3.984
_cell_angle_alpha 90.00
_cell_angle_beta 90.00
_cell_angle_gamma 90.00
_symmetry_space_group_name_H-M 'C m m m'
_symmetry_Int_Tables_number 65
_symmetry_space_group_name_Hall '-C 2 2'
loop_
_atom_site_label
_atom_site_type_symbol
_atom_site_fract_x
_atom_site_fract_y
_atom_site_fract_z
Al1 Al 0.000 0.000 0.000
V1 V 0.000 0.268 0.000
V2 V 0.000 0.500 0.500
V3 V 0.202 0.135 0.500
C1 C 0.000 0.296 0.500
```